This record from the Alexandria database describes a geometry-optimized BaAl2Zn structure. The functional is GGA-PBE.

a = 4.4529 Å, b = 4.4529 Å, c = 6.6664 Å
α = 109.55°, β = 109.55°, γ = 60.07°
With the nearest neighbours (Å) after each atom.
Fractional positions:
Ba: 0.0000 0.0000 0.0000  7 Al 3.48-3.81, 4 Zn 3.57-3.67
Al: 0.2064 0.2064 0.6182  3 Al 2.75-2.76, 3 Zn 2.89-2.90
Al: 0.4861 0.4861 0.4573  3 Zn 2.59, 3 Al 2.75-2.76
Zn: 0.8013 0.8013 0.4025  6 Al 2.59-2.90

Values from the calculation:
As for the crystal system: monoclinic. Its density of states at the Fermi level is 2.04 states/eV per cell. The formation enthalpy at 0 K is -0.157 eV/atom. The value obtained for the uncorrected energy is -2.8271 eV/atom.